Entry 1:
A plane-wave DFT calculation with PBE was carried out for Tm2Mn17C3 after structural relaxation.

Computed properties:
Theoretical density   8358 kg/m³
Electronic total energy   -194.81 eV for the cell shown
Total magnetization   8.00 μB per cell
ΔE_f   -0.105 eV/atom
Excess energy over the best structure of this formula in the dataset   0.000 eV/atom

Lattice parameters (Å, degrees): 6.4259 6.4259 6.4259 82.99 82.99 82.99
Atoms (fractional coordinates):
Tm 0.3489 0.3489 0.3489
Tm 0.6511 0.6511 0.6511
Mn 0.5000 0.0000 0.0000
Mn 0.0000 0.0000 0.5000
Mn 0.0000 0.5000 0.0000
Mn 0.0000 0.7212 0.2788
Mn 0.7212 0.2788 0.0000
Mn 0.2788 0.0000 0.7212
Mn 0.2788 0.7212 0.0000
Mn 0.7212 0.0000 0.2788
Mn 0.0000 0.2788 0.7212
Mn 0.1406 0.6582 0.6582
Mn 0.6582 0.6582 0.1406
Mn 0.6582 0.1406 0.6582
Mn 0.8594 0.3418 0.3418
Mn 0.3418 0.3418 0.8594
Mn 0.3418 0.8594 0.3418
Mn 0.0960 0.0960 0.0960
Mn 0.9040 0.9040 0.9040
C 0.0000 0.5000 0.5000
C 0.5000 0.5000 0.0000
C 0.5000 0.0000 0.5000



Entry 2:
A plane-wave DFT calculation with PBE was carried out for Tb2HoIn after structural relaxation.

Computed properties:
Theoretical density   8164 kg/m³
Electronic total energy   -17.14 eV for the cell shown
Total magnetization   0.48 μB per cell
ΔE_f   -0.141 eV/atom
Excess energy over the best structure of this formula in the dataset   0.126 eV/atom

Lattice parameters (Å, degrees): 3.5999 3.5999 11.0277 80.61 80.61 60.00
Atoms (fractional coordinates):
Tb 0.0787 0.0787 0.7639
Tb 0.2548 0.2548 0.2356
Ho 0.5001 0.5001 0.4998
In 0.6665 0.6665 0.0006



Entry 3:
A plane-wave DFT calculation with PBE was carried out for Ac6Sm5Tm after structural relaxation.

Computed properties:
Theoretical density   8177 kg/m³
Electronic total energy   -52.23 eV for the cell shown
Total magnetization   0.00 μB per cell
ΔE_f   0.041 eV/atom

Lattice parameters (Å, degrees): 6.4559 7.7338 10.0696 112.59 92.72 89.96
Atoms (fractional coordinates):
Ac 0.8358 0.5848 0.6686
Ac 0.8358 0.0837 0.6686
Ac 0.5001 0.7513 0.0000
Ac 0.4999 0.2487 0.0000
Ac 0.1642 0.9163 0.3314
Ac 0.1642 0.4152 0.3314
Tm 0.0000 0.0000 0.0000
Sm 0.6660 0.1666 0.3332
Sm 0.3358 0.3329 0.6658
Sm 0.0000 0.5000 0.0000
Sm 0.6642 0.6671 0.3342
Sm 0.3340 0.8334 0.6668



Entry 4:
A plane-wave DFT calculation with PBE was carried out for Nd2Y6HoEr after structural relaxation.

Computed properties:
Theoretical density   5826 kg/m³
Electronic total energy   -112.68 eV for the cell shown
Total magnetization   0.00 μB per cell
ΔE_f   0.112 eV/atom

Lattice parameters (Å, degrees): 9.7790 8.7840 8.7840 117.77 95.04 95.04
Atoms (fractional coordinates):
Nd 0.4556 0.8062 0.7059
Nd 0.0444 0.2941 0.1938
Nd 0.5444 0.1938 0.2941
Nd 0.9556 0.7059 0.8062
Y 0.0568 0.1235 0.7466
Y 0.4432 0.2534 0.8765
Y 0.9432 0.8765 0.2534
Y 0.5568 0.7466 0.1235
Y 0.3135 0.9810 0.4240
Y 0.1865 0.5760 0.0190
Y 0.6865 0.0190 0.5760
Y 0.8135 0.4240 0.9810
Y 0.1180 0.7058 0.4975
Y 0.3820 0.5025 0.2942
Y 0.8820 0.2942 0.5025
Y 0.6180 0.4975 0.7058
Ho 0.2500 0.9818 0.0182
Ho 0.7500 0.0182 0.9818
Er 0.2500 0.4062 0.5938
Er 0.7500 0.5938 0.4062



Entry 5:
A plane-wave DFT calculation with PBE was carried out for KGa3Hg10 after structural relaxation.

Computed properties:
Theoretical density   9406 kg/m³
Electronic total energy   -26.63 eV for the cell shown
Total magnetization   0.00 μB per cell
ΔE_f   -0.008 eV/atom

Lattice parameters (Å, degrees): 10.4023 10.4023 10.4023 60.00 60.00 60.00
Atoms (fractional coordinates):
K 0.2500 0.2500 0.2500
K 0.7500 0.7500 0.7500
Ga 0.2659 0.7341 0.7341
Ga 0.7341 0.7341 0.2659
Ga 0.7341 0.2659 0.7341
Ga 0.7341 0.2659 0.2659
Ga 0.2659 0.7341 0.2659
Ga 0.2659 0.2659 0.7341
Hg 0.3430 0.0000 0.0000
Hg 0.0000 0.0000 0.3430
Hg 0.0000 0.3430 0.0000
Hg 0.0000 0.6570 0.3430
Hg 0.3857 0.3857 0.3857
Hg 0.6143 0.1572 0.6143
Hg 0.3857 0.3857 0.8428
Hg 0.3430 0.6570 0.0000
Hg 0.8428 0.3857 0.3857
Hg 0.3857 0.8428 0.3857
Hg 0.1572 0.6143 0.6143
Hg 0.6570 0.0000 0.0000
Hg 0.0000 0.3430 0.6570
Hg 0.3430 0.0000 0.6570
Hg 0.6570 0.0000 0.3430
Hg 0.0000 0.6570 0.0000
Hg 0.6143 0.6143 0.6143
Hg 0.0000 0.0000 0.6570
Hg 0.6143 0.6143 0.1572
Hg 0.6570 0.3430 0.0000



Entry 6:
A plane-wave DFT calculation with PBE was carried out for TcNiC2 after structural relaxation.

Computed properties:
Theoretical density   8405 kg/m³
Electronic total energy   -29.88 eV for the cell shown
Total magnetization   0.00 μB per cell
ΔE_f   1.180 eV/atom
Excess energy over the best structure of this formula in the dataset   0.555 eV/atom

Lattice parameters (Å, degrees): 3.6961 3.6961 3.6961 60.00 60.00 60.00
Atoms (fractional coordinates):
Ni 0.0000 0.0000 0.0000
C 0.2500 0.2500 0.2500
C 0.7500 0.7500 0.7500
Tc 0.5000 0.5000 0.5000